Entry 1:
First-principles (GGA-PBE) data for a geometry-optimized TmNpRhO6 structure, as listed in Alexandria via LeMat-Bulk.

a b c (Å): 5.5576 5.5576 8.5902
angles (deg): 90.00 90.00 120.00
Closest atoms and distances in Å follow each position.
Sites, in units of the cell vectors:
Rh  0.0000  0.0000  0.0000  6 O 2.10
Np  0.3333  0.6667  0.7500  6 O 2.09
O  0.9782  0.6642  0.3754  1 Np 2.09, 1 Rh 2.10, 1 Tm 2.24
O  0.3140  0.3358  0.8754  1 Np 2.09, 1 Rh 2.10, 1 Tm 2.24
O  0.6642  0.9782  0.8754  1 Np 2.09, 1 Rh 2.10, 1 Tm 2.24
O  0.3140  0.9782  0.6246  1 Np 2.09, 1 Rh 2.10, 1 Tm 2.24
O  0.6860  0.0218  0.3754  1 Np 2.09, 1 Rh 2.10, 1 Tm 2.24
Np  0.6667  0.3333  0.2500  6 O 2.09
Rh  0.0000  0.0000  0.5000  6 O 2.10
Tm  0.6667  0.3333  0.7500  6 O 2.24
O  0.3358  0.0218  0.1246  1 Np 2.09, 1 Rh 2.10, 1 Tm 2.24
O  0.3358  0.3140  0.3754  1 Np 2.09, 1 Rh 2.10, 1 Tm 2.24
O  0.6860  0.6642  0.1246  1 Np 2.09, 1 Rh 2.10, 1 Tm 2.24
O  0.0218  0.3358  0.6246  1 Np 2.09, 1 Rh 2.10, 1 Tm 2.24
O  0.0218  0.6860  0.8754  1 Np 2.09, 1 Rh 2.10, 1 Tm 2.24
Tm  0.3333  0.6667  0.2500  6 O 2.24
O  0.6642  0.6860  0.6246  1 Np 2.09, 1 Rh 2.10, 1 Tm 2.24
O  0.9782  0.3140  0.1246  1 Np 2.09, 1 Rh 2.10, 1 Tm 2.24

Its formation energy from raw total energies is -2.265 eV/atom.

***

Entry 2:
First-principles (GGA-PBE) data for a geometry-optimized RbLiTlSe2 structure, as listed in Alexandria via LeMat-Bulk.

a b c (Å): 5.2175 7.3478 9.4061
angles (deg): 99.88 90.00 110.80
Closest atoms and distances in Å follow each position.
Sites, in units of the cell vectors:
Rb  0.6581  0.3162  0.6782  4 Se 3.47-3.67, 1 Li 3.56, 1 Tl 3.85
Se  0.3933  0.7867  0.6968  1 Li 2.59, 2 Tl 2.79
Se  0.1415  0.2830  0.9418  3 Li 2.61-2.83, 1 Tl 2.85
Tl  0.0577  0.1153  0.2112  4 Se 2.79-2.97
Rb  0.3419  0.6838  0.3218  4 Se 3.47-3.67, 1 Li 3.56, 1 Tl 3.85
Li  0.3312  0.6625  0.9406  4 Se 2.59-2.83
Se  0.6067  0.2133  0.3032  1 Li 2.59, 2 Tl 2.79
Tl  0.9423  0.8847  0.7888  4 Se 2.79-2.97
Se  0.8585  0.7170  0.0582  3 Li 2.61-2.83, 1 Tl 2.85
Li  0.6688  0.3375  0.0594  4 Se 2.59-2.83

Its formation energy from raw total energies is -0.836 eV/atom.

***

Entry 3:
First-principles (GGA-PBE) data for a geometry-optimized Ca3TlRh8 structure, as listed in Alexandria via LeMat-Bulk.

a b c (Å): 5.3295 5.3295 9.2456
angles (deg): 73.25 73.25 60.00
Closest atoms and distances in Å follow each position.
Sites, in units of the cell vectors:
Rh  0.4371  0.9362  0.1896  6 Rh 2.65-2.68
Tl  0.8748  0.8748  0.3755  12 Rh 3.11-3.12, 4 Ca 3.24-3.25
Rh  0.4371  0.4371  0.1896  6 Rh 2.65-2.68
Rh  0.4390  0.9378  0.6855  6 Rh 2.66-2.68
Rh  0.9378  0.9378  0.6855  6 Rh 2.66-2.68
Ca  0.9989  0.9989  0.0034  12 Rh 3.12-3.17, 1 Tl 3.24, 3 Ca 3.28
Rh  0.1876  0.1876  0.4373  6 Rh 2.65-2.66
Rh  0.6876  0.6876  0.9372  6 Rh 2.68
Rh  0.9378  0.4390  0.6855  6 Rh 2.66-2.68
Ca  0.3751  0.3751  0.8747  12 Rh 3.12-3.15, 4 Ca 3.28-3.29
Rh  0.9362  0.4371  0.1896  6 Rh 2.65-2.68
Ca  0.5010  0.5010  0.4969  12 Rh 3.09-3.13, 3 Tl 3.25, 1 Ca 3.29

As for the formation energy: -0.288 eV/atom.

***

Entry 4:
First-principles (GGA-PBE) data for a geometry-optimized TiZn2Bi2 structure, as listed in Alexandria via LeMat-Bulk.

a b c (Å): 7.4727 7.4727 3.9706
angles (deg): 90.00 90.00 90.00
Closest atoms and distances in Å follow each position.
Sites, in units of the cell vectors:
Bi  0.1792  0.6792  0.5000  6 Zn 2.88-3.04
Ti  0.0000  0.0000  0.0000  4 Zn 2.96
Zn  0.6238  0.1238  0.0000  1 Zn 2.62, 2 Bi 2.88
Zn  0.1238  0.3762  0.0000  1 Zn 2.62, 2 Bi 2.88
Bi  0.6792  0.8208  0.5000  6 Zn 2.88-3.04
Zn  0.8762  0.6238  0.0000  1 Zn 2.62, 2 Bi 2.88
Zn  0.3762  0.8762  0.0000  1 Zn 2.62, 2 Bi 2.88
Ti  0.5000  0.5000  0.0000  4 Zn 2.96
Bi  0.8208  0.3208  0.5000  6 Zn 2.88-3.04
Bi  0.3208  0.1792  0.5000  6 Zn 2.88-3.04

As for the formation energy: 0.206 eV/atom. The energy above the most stable polymorph in this dataset is 0.073 eV/atom.

***

Entry 5:
First-principles (GGA-PBE) data for a geometry-optimized PmSm2Er structure, as listed in Alexandria via LeMat-Bulk.

a b c (Å): 3.6192 3.6192 11.8722
angles (deg): 81.23 81.23 60.00
Closest atoms and distances in Å follow each position.
Sites, in units of the cell vectors:
Pm  0.5000  0.5000  0.5000  6 Pm 3.62, 6 Sm 3.63
Sm  0.2514  0.2514  0.2459  3 Er 3.56, 6 Sm 3.62, 3 Pm 3.63
Er  0.6668  0.6668  0.9997  6 Sm 3.55-3.56, 6 Er 3.62
Sm  0.0819  0.0819  0.7544  3 Er 3.55, 6 Sm 3.62, 3 Pm 3.63

As for the formation energy: 0.017 eV/atom. The energy above the most stable polymorph in this dataset is 0.001 eV/atom.

***

Entry 6:
First-principles (GGA-PBE) data for a geometry-optimized Sr4PbAu structure, as listed in Alexandria via LeMat-Bulk.

a b c (Å): 7.3192 8.9150 9.1454
angles (deg): 114.03 107.61 101.55
Closest atoms and distances in Å follow each position.
Sites, in units of the cell vectors:
Au  0.2468  0.9968  0.9935  8 Sr 3.25-3.42
Sr  0.0155  0.2342  0.8807  2 Au 3.25-3.31, 2 Pb 3.48-3.57
Sr  0.6433  0.0566  0.3527  2 Au 3.37-3.42, 2 Pb 3.50-3.52
Pb  0.6145  0.3645  0.7289  8 Sr 3.48-3.57
Sr  0.7906  0.7039  0.6473  2 Au 3.37-3.42, 2 Pb 3.50-3.52
Pb  0.3855  0.6355  0.2711  8 Sr 3.48-3.57
Sr  0.3567  0.9434  0.6473  2 Au 3.37-3.42, 2 Pb 3.50-3.52
Sr  0.6348  0.3535  0.1193  2 Au 3.25-3.31, 2 Pb 3.48-3.57
Au  0.7532  0.0032  0.0065  8 Sr 3.25-3.42
Sr  0.2094  0.2961  0.3527  2 Au 3.37-3.42, 2 Pb 3.50-3.52
Sr  0.3652  0.6465  0.8807  2 Au 3.25-3.31, 2 Pb 3.48-3.57
Sr  0.9845  0.7658  0.1193  2 Au 3.25-3.31, 2 Pb 3.48-3.57

As for the formation energy: -0.485 eV/atom. The energy above the most stable polymorph in this dataset is 0.000 eV/atom.

***

Entry 7:
First-principles (GGA-PBE) data for a geometry-optimized GdThNiHg structure, as listed in Alexandria via LeMat-Bulk.

a b c (Å): 5.1699 5.1699 5.1699
angles (deg): 60.00 60.00 60.00
Closest atoms and distances in Å follow each position.
Sites, in units of the cell vectors:
Hg  0.7500  0.7500  0.7500  4 Th 3.17, 4 Gd 3.17
Gd  0.0000  0.0000  0.0000  4 Ni 3.17, 4 Hg 3.17
Ni  0.2500  0.2500  0.2500  4 Th 3.17, 4 Gd 3.17
Th  0.5000  0.5000  0.5000  4 Hg 3.17, 4 Ni 3.17

As for the formation energy: -0.211 eV/atom.

***

Entry 8:
First-principles (GGA-PBE) data for a geometry-optimized Ag2MoCl structure, as listed in Alexandria via LeMat-Bulk.

a b c (Å): 2.9299 2.9299 8.9026
angles (deg): 90.00 90.00 90.00
Closest atoms and distances in Å follow each position.
Sites, in units of the cell vectors:
Ag  0.5000  0.5000  0.2059  8 Ag 2.92-2.93
Cl  0.0000  0.0000  0.5749  4 Mo 2.57
Ag  0.0000  0.0000  0.9744  4 Mo 2.91, 8 Ag 2.92-2.93
Mo  0.5000  0.5000  0.7449  4 Cl 2.57

Its formation energy from raw total energies is 0.277 eV/atom. The energy above the most stable polymorph in this dataset is 0.164 eV/atom.